## Sr2ZrMn (PBE-GGA)

Data for crystalline Sr2ZrMn at its relaxed geometry.

Geometry as extended XYZ:
```
16
Lattice="7.649 0.000 0.000 0.000 7.649 0.000 0.000 0.000 7.649" Properties=species:S:1:pos:R:3 pbc="T T T"
Sr 1.912 1.912 1.912
Sr 1.912 1.912 5.737
Sr 1.912 5.737 1.912
Sr 1.912 5.737 5.737
Sr 5.737 1.912 1.912
Sr 5.737 1.912 5.737
Sr 5.737 5.737 1.912
Sr 5.737 5.737 5.737
Zr 0.000 0.000 0.000
Zr 0.000 3.824 3.824
Zr 3.824 0.000 3.824
Zr 3.824 3.824 0.000
Mn 0.000 0.000 3.824
Mn 0.000 3.824 0.000
Mn 3.824 0.000 0.000
Mn 3.824 3.824 3.824
```

Output
- DOS at the Fermi energy (states/eV/cell) = 30.3
- formation energy (eV per atom) = 1.314
- total moment (μB/atom) = 0.00


## Sr2ZrMn (PBE-GGA)

Data for crystalline Sr2ZrMn at its relaxed geometry.

Geometry as extended XYZ:
```
8
Lattice="7.763 0.000 0.000 0.000 4.480 0.000 -2.573 0.000 8.313" Properties=species:S:1:pos:R:3 pbc="T T T"
Sr 0.000 0.000 0.000
Sr -0.001 0.000 4.628
Sr 3.881 2.240 0.000
Sr 3.881 2.240 4.628
Zr 1.294 2.240 2.310
Zr 5.176 0.000 2.310
Mn 2.590 0.000 2.314
Mn 6.471 2.240 2.314
```

Output
- DOS at the Fermi energy (states/eV/cell) = 7.2
- formation energy (eV per atom) = 0.464
- total moment (μB/atom) = 0.20


## Sr2ZrMn (PBE-GGA)

Data for crystalline Sr2ZrMn at its relaxed geometry.

Geometry as extended XYZ:
```
4
Lattice="3.573 0.000 0.000 0.000 5.023 0.000 -0.011 0.000 6.987" Properties=species:S:1:pos:R:3 pbc="T T T"
Sr 0.001 0.000 1.781
Sr 3.561 0.000 5.206
Zr 1.787 2.512 0.000
Mn 1.781 2.512 3.493
```

Output
- DOS at the Fermi energy (states/eV/cell) = 6.1
- formation energy (eV per atom) = 0.747
- total moment (μB/atom) = 0.78


## SrZrMn2 (PBE-GGA)

Data for crystalline SrZrMn2 at its relaxed geometry.

Geometry as extended XYZ:
```
16
Lattice="7.070 0.000 0.000 0.000 7.070 0.000 0.000 0.000 7.070" Properties=species:S:1:pos:R:3 pbc="T T T"
Sr 0.000 0.000 0.000
Sr 0.000 3.535 3.535
Sr 3.535 0.000 3.535
Sr 3.535 3.535 0.000
Zr 0.000 0.000 3.535
Zr 0.000 3.535 0.000
Zr 3.535 0.000 0.000
Zr 3.535 3.535 3.535
Mn 1.768 1.768 1.768
Mn 1.768 1.768 5.303
Mn 1.768 5.303 1.768
Mn 1.768 5.303 5.303
Mn 5.303 1.768 1.768
Mn 5.303 1.768 5.303
Mn 5.303 5.303 1.768
Mn 5.303 5.303 5.303
```

Output
- DOS at the Fermi energy (states/eV/cell) = 17.9
- formation energy (eV per atom) = 0.580
- total moment (μB/atom) = 1.45


## Sr2ZrMn (PBE-GGA)

Data for crystalline Sr2ZrMn at its relaxed geometry.

Geometry as extended XYZ:
```
8
Lattice="3.707 0.000 0.000 0.000 5.987 0.000 0.000 0.000 11.389" Properties=species:S:1:pos:R:3 pbc="T T T"
Sr 0.000 0.000 0.000
Sr 0.000 2.994 2.252
Sr 1.854 0.000 7.947
Sr 1.854 2.994 5.695
Zr 0.000 2.994 9.136
Zr 1.854 0.000 3.442
Mn 0.000 0.000 5.233
Mn 1.854 2.994 10.927
```

Output
- DOS at the Fermi energy (states/eV/cell) = 7.0
- formation energy (eV per atom) = 0.478
- total moment (μB/atom) = 0.30


## SrZrMn2 (PBE-GGA)

Data for crystalline SrZrMn2 at its relaxed geometry.

Geometry as extended XYZ:
```
12
Lattice="3.319 0.000 0.000 -1.659 2.874 0.000 0.000 0.000 29.044" Properties=species:S:1:pos:R:3 pbc="T T T"
Sr 0.000 0.000 0.000
Sr 0.000 1.916 19.363
Sr 1.659 0.958 9.681
Zr 0.000 0.000 14.522
Zr 0.000 1.916 4.841
Zr 1.659 0.958 24.204
Mn 0.000 0.000 6.964
Mn 0.000 0.000 22.080
Mn 0.000 1.916 12.399
Mn 0.000 1.916 26.327
Mn 1.659 0.958 2.717
Mn 1.659 0.958 16.645
```

Output
- DOS at the Fermi energy (states/eV/cell) = 13.2
- formation energy (eV per atom) = 0.679
- total moment (μB/atom) = 1.67


## TaMn2 (PBE-GGA)

Data for crystalline TaMn2 at its relaxed geometry.

Geometry as extended XYZ:
```
12
Lattice="9.868 0.000 0.000 0.000 2.848 0.000 -2.064 0.000 5.866" Properties=species:S:1:pos:R:3 pbc="T T T"
Ta 1.343 0.000 0.526
Ta 1.526 1.424 5.340
Ta 6.277 1.424 0.526
Ta 6.460 0.000 5.340
Mn -1.384 1.424 4.141
Mn 0.449 0.000 3.389
Mn 2.421 1.424 2.477
Mn 4.254 0.000 1.725
Mn 3.549 0.000 4.141
Mn 5.382 1.424 3.389
Mn 7.355 0.000 2.477
Mn 9.188 1.424 1.725
```

Output
- DOS at the Fermi energy (states/eV/cell) = 12.5
- formation energy (eV per atom) = 0.091
- total moment (μB/atom) = 0.24


## TaMn2 (PBE-GGA)

Data for crystalline TaMn2 at its relaxed geometry.

Geometry as extended XYZ:
```
12
Lattice="4.808 0.000 0.000 -2.404 4.164 0.000 0.000 0.000 7.905" Properties=species:S:1:pos:R:3 pbc="T T T"
Ta 0.000 2.776 0.504
Ta 0.000 2.776 3.449
Ta 2.404 1.388 4.456
Ta 2.404 1.388 7.402
Mn 0.000 0.000 0.000
Mn 0.000 0.000 3.953
Mn 0.000 1.430 5.929
Mn -1.166 3.449 5.929
Mn 1.238 0.715 1.976
Mn 1.166 3.449 5.929
Mn 3.570 0.715 1.976
Mn 2.404 2.734 1.976
```

Output
- DOS at the Fermi energy (states/eV/cell) = 17.2
- formation energy (eV per atom) = -0.219
- total moment (μB/atom) = 0.36


## Ta3Mn (PBE-GGA)

Data for crystalline Ta3Mn at its relaxed geometry.

Geometry as extended XYZ:
```
16
Lattice="5.750 0.000 0.000 -2.875 4.980 0.000 0.000 0.000 9.663" Properties=species:S:1:pos:R:3 pbc="T T T"
Ta -1.438 2.490 0.000
Ta -1.438 2.490 4.832
Ta 0.000 1.632 2.416
Ta -1.461 4.164 2.416
Ta 1.414 0.816 7.247
Ta 2.875 0.000 0.000
Ta 2.875 0.000 4.832
Ta 1.438 2.490 0.000
Ta 1.438 2.490 4.832
Ta 1.461 4.164 2.416
Ta 4.337 0.816 7.247
Ta 2.875 3.348 7.247
Mn 0.000 0.000 0.000
Mn 0.000 0.000 4.832
Mn 0.000 3.320 7.247
Mn 2.875 1.660 2.416
```

Output
- DOS at the Fermi energy (states/eV/cell) = 20.8
- formation energy (eV per atom) = 0.244
- total moment (μB/atom) = 0.68


## TaMn2 (PBE-GGA)

Data for crystalline TaMn2 at its relaxed geometry.

Geometry as extended XYZ:
```
6
Lattice="4.370 0.000 0.000 -2.185 3.785 0.000 0.000 0.000 4.981" Properties=species:S:1:pos:R:3 pbc="T T T"
Ta 0.000 2.523 1.245
Ta 2.185 1.262 3.736
Mn 0.000 0.000 0.000
Mn 0.000 0.000 2.490
Mn 0.000 2.523 3.736
Mn 2.185 1.262 1.245
```

Output
- DOS at the Fermi energy (states/eV/cell) = 3.9
- formation energy (eV per atom) = 0.138
- total moment (μB/atom) = 0.95


## Ta3Mn (PBE-GGA)

Data for crystalline Ta3Mn at its relaxed geometry.

Geometry as extended XYZ:
```
16
Lattice="6.449 0.000 0.000 0.000 9.058 0.000 0.000 0.000 4.485" Properties=species:S:1:pos:R:3 pbc="T T T"
Ta 0.000 1.101 1.121
Ta 0.000 7.958 3.364
Ta 1.538 3.407 1.121
Ta 1.538 5.651 3.364
Ta 1.687 1.122 3.364
Ta 1.687 7.936 1.121
Ta 3.224 3.428 3.364
Ta 3.224 5.630 1.121
Ta 4.762 1.122 3.364
Ta 4.762 7.936 1.121
Ta 4.911 3.407 1.121
Ta 4.911 5.651 3.364
Mn 0.000 3.394 3.364
Mn 0.000 5.665 1.121
Mn 3.224 1.135 1.121
Mn 3.224 7.923 3.364
```

Output
- DOS at the Fermi energy (states/eV/cell) = 16.1
- formation energy (eV per atom) = -0.018
- total moment (μB/atom) = 0.00


## TaMn3 (PBE-GGA)

Data for crystalline TaMn3 at its relaxed geometry.

Geometry as extended XYZ:
```
4
Lattice="2.747 0.000 0.000 0.000 2.747 0.000 0.000 0.000 6.949" Properties=species:S:1:pos:R:3 pbc="T T T"
Ta 0.000 0.000 0.000
Mn 0.000 0.000 3.474
Mn 1.373 1.373 1.997
Mn 1.373 1.373 4.952
```

Output
- DOS at the Fermi energy (states/eV/cell) = 4.1
- formation energy (eV per atom) = 0.084
- total moment (μB/atom) = 0.57